# 1
BaSc2Rh | GGA-PBE | relaxed

The space group is No. 166. The calculation puts the energy of formation from the pure elements at -0.1371 eV per atom. Its total magnetization is 0.0000 μB/atom.

Cell and atoms, written as POSCAR:
```
BaSc2Rh
1.0
1.8993 1.0965 10.0858
-1.8993 1.0965 10.0858
0.0000 -2.1931 10.0858
Ba Sc Rh
1 2 1
Direct
0.0000 0.0000 0.0000
0.1210 0.1210 0.1210
0.8790 0.8790 0.8790
0.5000 0.5000 0.5000
```

=====

# 2
NbSn2Bi | GGA-PBE | relaxed

The space group is No. 122. The calculation puts the energy of formation from the pure elements at 0.7116 eV per atom. Its total magnetization is 0.0000 μB/atom.

Cell and atoms, written as POSCAR:
```
NbSn2Bi
1.0
-3.2807 3.2807 6.8389
3.2807 -3.2807 6.8389
3.2807 3.2807 -6.8389
Nb Sn Bi
2 4 2
Direct
0.0000 0.0000 0.0000
0.7500 0.2500 0.5000
0.0862 0.6250 0.9612
0.3750 0.3362 0.4612
0.6638 0.1250 0.0388
0.8750 0.9138 0.5388
0.2500 0.7500 0.5000
0.5000 0.5000 0.0000
```

=====

# 3
AcPm2Sm7 | GGA-PBE | relaxed

The space group is No. 65. For the distance to the lowest polymorph of the same formula, the calculation gives 2.31 eV per formula unit. The calculation puts the energy of formation from the pure elements at 0.6227 eV per atom. Its total magnetization is 0.0000 μB/atom.

Cell and atoms, written as POSCAR:
```
AcPm2Sm7
1.0
4.4521 -8.1402 0.0000
4.4521 8.1402 0.0000
0.0000 0.0000 5.7335
Ac Pm Sm
1 2 7
Direct
0.0000 0.0000 0.0000
0.2980 0.7020 0.5000
0.7020 0.2980 0.5000
0.0618 0.2977 0.5000
0.2321 0.7679 0.0000
0.2977 0.0618 0.5000
0.5000 0.5000 0.5000
0.7023 0.9382 0.5000
0.7679 0.2321 0.0000
0.9382 0.7023 0.5000
```

=====

# 4
Tc2MoRh | GGA-PBE | relaxed

The space group is No. 65. For the distance to the lowest polymorph of the same formula, the calculation gives 0.33 eV per formula unit. The calculation puts the energy of formation from the pure elements at 0.0170 eV per atom. Its total magnetization is 0.0000 μB/atom.

Cell and atoms, written as POSCAR:
```
Tc2MoRh
1.0
2.7585 -3.9228 0.0000
2.7585 3.9228 0.0000
0.0000 0.0000 2.7300
Tc Mo Rh
2 1 1
Direct
0.0000 0.5000 0.0000
0.5000 0.0000 0.0000
0.0000 0.0000 0.5000
0.5000 0.5000 0.5000
```

=====

# 5
AcTb6Pr12 | GGA-PBE | relaxed

The space group is No. 166. The calculation puts the energy of formation from the pure elements at 0.1836 eV per atom. Its total magnetization is 0.0000 μB/atom.

Cell and atoms, written as POSCAR:
```
AcTb6Pr12
1.0
6.8562 3.9584 4.2509
-6.8562 3.9584 4.2509
0.0000 -7.9169 4.2509
Ac Tb Pr
1 6 12
Direct
0.0000 0.0000 0.0000
0.1003 0.1003 0.6577
0.1003 0.6577 0.1003
0.3423 0.8997 0.8997
0.6577 0.1003 0.1003
0.8997 0.3423 0.8997
0.8997 0.8997 0.3423
0.0813 0.3532 0.3532
0.2403 0.5000 0.7597
0.2403 0.7597 0.5000
0.3532 0.0813 0.3532
0.3532 0.3532 0.0813
0.5000 0.2403 0.7597
0.5000 0.7597 0.2403
0.6468 0.6468 0.9187
0.6468 0.9187 0.6468
0.7597 0.2403 0.5000
0.7597 0.5000 0.2403
0.9187 0.6468 0.6468
```

=====

# 6
Tb7Nd2Ho | GGA-PBE | relaxed

The space group is No. 2. For the distance to the lowest polymorph of the same formula, the calculation gives 0.00 eV per formula unit. The calculation puts the energy of formation from the pure elements at 0.0145 eV per atom. Its total magnetization is 0.0000 μB/atom.

Cell and atoms, written as POSCAR:
```
Tb7Nd2Ho
1.0
5.0571 0.0000 0.0000
-0.0200 7.1658 0.0000
-2.5280 -1.7857 8.9586
Tb Nd Ho
7 2 1
Direct
0.0000 0.0000 0.0000
0.1991 0.5987 0.3981
0.4008 0.6984 0.8016
0.4016 0.2020 0.8030
0.5984 0.7980 0.1970
0.5992 0.3016 0.1984
0.8009 0.4013 0.6019
0.1992 0.1011 0.3985
0.8008 0.8989 0.6015
0.0000 0.5000 0.0000
```

=====

# 7
ErPdN | GGA-PBE | relaxed

The space group is No. 71. The calculation puts the formation energy without anion corrections at -0.44 eV per atom. Its total magnetization is 0.0000 μB/atom.

Cell and atoms, written as POSCAR:
```
ErPdN
1.0
-1.5551 3.6178 4.1843
1.5551 -3.6178 4.1843
1.5551 3.6178 -4.1843
Er Pd N
2 2 2
Direct
0.2028 0.0000 0.2028
0.7972 0.0000 0.7972
0.3352 0.3352 0.0000
0.6648 0.6648 0.0000
0.1390 0.6390 0.5000
0.8610 0.3610 0.5000
```

=====

# 8
CeTh2Si2 | GGA-PBE | relaxed

The space group is No. 12. The calculation puts the formation energy without anion corrections at -0.50 eV per atom. For the distance to the lowest polymorph of the same formula, the calculation gives 0.66 eV per formula unit. Its total magnetization is 0.0001 μB/atom.

Cell and atoms, written as POSCAR:
```
CeTh2Si2
1.0
5.9842 -2.1361 0.0000
5.9842 2.1361 0.0000
-4.9439 0.0000 9.7834
Ce Th Si
2 4 4
Direct
0.2147 0.2147 0.3661
0.7853 0.7853 0.6339
0.3060 0.3060 0.8956
0.4933 0.4933 0.3117
0.5067 0.5067 0.6883
0.6940 0.6940 0.1044
0.0189 0.0189 0.8989
0.1107 0.1107 0.5675
0.8893 0.8893 0.4325
0.9811 0.9811 0.1011
```

=====

Per-record mass density, g/cm3: 4.35, 6.08, 6.27, 11.10, 6.89, 8.01, 10.15, 8.77